# 1
Material: Pr6Er12In
Method: DFT, PBE-GGA
State: relaxed

Cell: 8.497 8.497 8.497 Å, 89.29 89.29 89.29°
Sites, in units of the cell vectors:
Pr 0.739 0.909 0.307
Pr 0.693 0.261 0.091
Pr 0.091 0.693 0.261
Pr 0.261 0.091 0.693
Pr 0.307 0.739 0.909
Pr 0.909 0.307 0.739
Er 0.776 0.538 0.437
Er 0.437 0.776 0.538
Er 0.538 0.437 0.776
Er 0.224 0.462 0.563
Er 0.563 0.224 0.462
Er 0.462 0.563 0.224
Er 0.014 0.190 0.357
Er 0.810 0.643 0.986
Er 0.643 0.986 0.810
Er 0.986 0.810 0.643
Er 0.190 0.357 0.014
Er 0.357 0.014 0.190
In 0.000 0.000 0.000

Summary:
Space group ... R-3, No. 148
Electronic total energy ... -4.4655 eV per atom
Magnetic moment ... 0.00 μB/f.u.



# 2
Material: BeCd2Ni
Method: DFT, PBE-GGA
State: relaxed

Cell: 4.781 4.781 4.684 Å, 73.29 73.29 37.28°
Sites, in units of the cell vectors:
Ni 0.250 0.250 0.250
Be 0.750 0.750 0.750
Cd 0.008 0.008 0.995
Cd 0.492 0.492 0.505

Summary:
Space group ... C2/m, No. 12
Electronic total energy ... -2.5232 eV per atom
Magnetic moment ... 0.00 μB/f.u.



# 3
Material: Tb3B7Rh
Method: DFT, PBE-GGA
State: relaxed

Cell: 3.513 8.111 9.410 Å, 90.00 90.00 102.51°
Sites, in units of the cell vectors:
Tb 0.106 0.212 0.439
Tb 0.894 0.788 0.561
Tb 0.246 0.492 0.750
Tb 0.754 0.508 0.250
Tb 0.106 0.212 0.061
Tb 0.894 0.788 0.939
B 0.458 0.917 0.750
B 0.542 0.083 0.250
B 0.479 0.958 0.404
B 0.521 0.042 0.596
B 0.521 0.042 0.904
B 0.479 0.958 0.096
B 0.367 0.735 0.349
B 0.633 0.265 0.651
B 0.273 0.546 0.467
B 0.727 0.454 0.533
B 0.727 0.454 0.967
B 0.273 0.546 0.033
B 0.367 0.735 0.151
B 0.633 0.265 0.849
Rh 0.946 0.892 0.250
Rh 0.054 0.108 0.750

Summary:
Space group ... Cmcm, No. 63
Electronic total energy ... -6.7599 eV per atom
Magnetic moment ... 0.00 μB/f.u.



# 4
Material: ZrPtAu2
Method: DFT, PBE-GGA
State: relaxed

Cell: 5.767 5.767 2.980 Å, 75.63 75.63 120.58°
Sites, in units of the cell vectors:
Au 0.000 0.000 0.000
Au 0.500 0.500 0.000
Pt 0.500 0.000 0.500
Zr 0.000 0.500 0.500

Summary:
Space group ... C2/m, No. 12
Electronic total energy ... -5.5934 eV per atom
Magnetic moment ... 0.00 μB/f.u.



- Among the records above, which one has the lowest electronic total energy?
  Tb3B7Rh